Here is a geometry-optimized NpCoMoO6 structure from the Alexandria database. Energies are from PBE with a Hubbard U.

a b c (Å): 5.1288 5.1288 9.3449
angles (deg): 90.00 90.00 120.00
Space group P-31c (No. 163)
Symmetry-distinct sites (fractional):
Np: 0.3333 0.6667 0.2500 [2 per cell]
Co: 0.3333 0.6667 0.7500 [2 per cell]
Mo: 0.0000 0.0000 0.0000 [2 per cell]
O: 0.0205 0.3529 0.6322 [12 per cell]

Computed properties:
* uncorrected energy: -144.50 eV/cell
* DOS(E_F): 0.022 states/eV/f.u.